Entry 1:
VASP calculation (PBE) on a relaxed Pm2SnTe crystal.

a b c (Å): 5.490 5.490 5.490
angles (deg): 60.00 60.00 60.00
Atoms (fractional coordinates):
Te 0.000 0.000 0.000
Sn 0.500 0.500 0.500
Pm 0.250 0.250 0.250
Pm 0.750 0.750 0.750

Properties
- Formation energy (no corrections): -3.391 eV/f.u.
- Calculated total energy: -5.01 eV/atom
- M_tot: 0.00 Bohr magnetons per cell

Entry 2:
VASP calculation (PBE) on a relaxed Pm7Sn3Te crystal.

a b c (Å): 5.980 8.215 8.215
angles (deg): 92.36 111.32 111.32
Each line ends with the local moment (μB).
Atoms (fractional coordinates):
Pm 0.176 0.176 0.176  0.06
Pm 0.333 0.068 0.601  0.06
Pm 0.667 0.399 0.932  0.06
Pm 0.333 0.601 0.068  0.06
Pm 0.000 0.500 0.500  0.02
Pm 0.667 0.932 0.399  0.06
Pm 0.824 0.824 0.824  0.06
Sn 0.000 0.768 0.232  0.00
Sn 0.500 0.000 0.000  0.00
Sn 0.000 0.232 0.768  0.00
Te 0.500 0.500 0.500  0.00

Properties
- Formation energy (no corrections): -5.788 eV/f.u.
- Calculated total energy: -4.93 eV/atom
- M_tot: 0.73 Bohr magnetons per cell

Entry 3:
VASP calculation (PBE) on a relaxed Pm2SnTe crystal.

a b c (Å): 3.731 3.731 8.294
angles (deg): 90.00 90.00 90.00
Each line ends with the local moment (μB).
Atoms (fractional coordinates):
Te 0.500 0.500 0.000  0.00
Sn 0.500 0.500 0.500  0.00
Pm 0.000 0.000 0.757  0.10
Pm 0.000 0.000 0.243  0.10

Properties
- Formation energy (no corrections): -3.791 eV/f.u.
- Calculated total energy: -5.11 eV/atom
- M_tot: 0.38 Bohr magnetons per cell

Entry 4:
VASP calculation (PBE) on a relaxed Pm8Sn2Te3 crystal.

a b c (Å): 7.145 8.536 8.648
angles (deg): 119.57 98.21 90.00
Atoms (fractional coordinates):
Pm 0.861 0.589 0.178
Pm 0.139 0.411 0.822
Pm 0.870 0.154 0.309
Pm 0.130 0.846 0.691
Pm 0.616 0.600 0.763
Pm 0.616 0.162 0.763
Pm 0.384 0.838 0.237
Pm 0.384 0.400 0.237
Sn 0.333 0.246 0.491
Sn 0.667 0.754 0.509
Te 0.500 0.000 0.000
Te 0.000 0.207 0.000
Te 0.000 0.793 0.000

Properties
- Formation energy (no corrections): -8.798 eV/f.u.
- Calculated total energy: -4.94 eV/atom
- M_tot: 0.04 Bohr magnetons per cell

Entry 5:
VASP calculation (PBE) on a relaxed Pm4SnTe crystal.

a b c (Å): 4.649 7.879 10.976
angles (deg): 97.58 102.23 90.00
Atoms (fractional coordinates):
Pm 0.693 0.955 0.886
Pm 0.781 0.371 0.062
Pm 0.307 0.045 0.114
Pm 0.219 0.629 0.938
Pm 0.075 0.866 0.650
Pm 0.413 0.637 0.325
Pm 0.925 0.134 0.350
Pm 0.587 0.363 0.675
Sn 0.827 0.774 0.154
Sn 0.173 0.226 0.846
Te 0.500 0.000 0.500
Te 0.000 0.500 0.500

Properties
- Formation energy (no corrections): -4.171 eV/f.u.
- Calculated total energy: -5.05 eV/atom
- M_tot: 0.00 Bohr magnetons per cell

Entry 6:
VASP calculation (PBE) on a relaxed Pm12Sn5Te2 crystal.

a b c (Å): 7.818 9.537 9.914
angles (deg): 101.77 90.00 114.20
Atoms (fractional coordinates):
Pm 0.912 0.825 0.186
Pm 0.080 0.645 0.893
Pm 0.565 0.645 0.893
Pm 0.129 0.718 0.441
Pm 0.590 0.718 0.441
Pm 0.487 0.975 0.750
Pm 0.513 0.025 0.250
Pm 0.871 0.282 0.559
Pm 0.410 0.282 0.559
Pm 0.920 0.355 0.107
Pm 0.435 0.355 0.107
Pm 0.088 0.175 0.814
Sn 0.285 0.571 0.641
Sn 0.327 0.655 0.165
Sn 0.000 0.000 0.500
Sn 0.673 0.345 0.835
Sn 0.715 0.429 0.359
Te 0.762 0.000 0.000
Te 0.238 0.000 0.000

Properties
- Formation energy (no corrections): -10.454 eV/f.u.
- Calculated total energy: -4.93 eV/atom
- M_tot: 0.00 Bohr magnetons per cell

Entry 7:
VASP calculation (PBE) on a relaxed PmSn4Te5 crystal.

a b c (Å): 4.794 7.672 10.113
angles (deg): 73.43 76.29 71.79
Atoms (fractional coordinates):
Pm 0.000 0.000 0.000
Sn 0.592 0.214 0.601
Sn 0.208 0.376 0.207
Sn 0.792 0.624 0.793
Sn 0.408 0.786 0.399
Te 0.197 0.904 0.701
Te 0.803 0.096 0.299
Te 0.401 0.295 0.902
Te 0.000 0.500 0.500
Te 0.599 0.705 0.098

Properties
- Formation energy (no corrections): -4.770 eV/f.u.
- Calculated total energy: -4.12 eV/atom
- M_tot: 0.00 Bohr magnetons per cell

Entry 8:
VASP calculation (PBE) on a relaxed Pm12Sn6Te crystal.

a b c (Å): 9.001 9.001 9.001
angles (deg): 99.98 99.98 99.98
Atoms (fractional coordinates):
Pm 0.815 0.577 0.439
Pm 0.439 0.815 0.577
Pm 0.577 0.439 0.815
Pm 0.185 0.423 0.561
Pm 0.561 0.185 0.423
Pm 0.423 0.561 0.185
Pm 0.065 0.955 0.332
Pm 0.045 0.668 0.935
Pm 0.668 0.935 0.045
Pm 0.935 0.045 0.668
Pm 0.955 0.332 0.065
Pm 0.332 0.065 0.955
Sn 0.694 0.870 0.376
Sn 0.624 0.306 0.130
Sn 0.130 0.624 0.306
Sn 0.306 0.130 0.624
Sn 0.376 0.694 0.870
Sn 0.870 0.376 0.694
Te 0.000 0.000 0.000

Properties
- Formation energy (no corrections): -8.842 eV/f.u.
- Calculated total energy: -4.90 eV/atom
- M_tot: 0.00 Bohr magnetons per cell